[1]
VASP calculation (PBE-GGA) on a relaxed Pm5SmTm2 crystal.

Final energy = -4.5236 eV/atom
Energy relative to the elements = 118 kJ/mol of formula units
Polymorph energy (0 for the lowest one) = 138.8 meV per atom

a = 9.752 Å, b = 9.752 Å, c = 6.552 Å
α = 98.10°, β = 98.10°, γ = 61.50°
Fractional coordinates of all 16 atoms:
Pm1 0.054 0.946 0.750
Pm2 0.113 0.288 0.017
Pm3 0.288 0.113 0.517
Pm4 0.307 0.501 0.862
Pm5 0.499 0.693 0.638
Pm6 0.501 0.307 0.362
Pm7 0.693 0.499 0.138
Pm8 0.712 0.887 0.483
Pm9 0.887 0.712 0.983
Pm10 0.946 0.054 0.250
Sm1 0.000 0.500 0.500
Sm2 0.500 0.000 0.000
Tm1 0.178 0.667 0.372
Tm2 0.333 0.822 0.128
Tm3 0.667 0.178 0.872
Tm4 0.822 0.333 0.628



[2]
VASP calculation (PBE-GGA) on a relaxed Pm7Sm2Tm4 crystal.

Final energy = -4.6418 eV/atom
Energy relative to the elements = 23 kJ/mol of formula units

a = 8.029 Å, b = 8.038 Å, c = 8.046 Å
α = 107.31°, β = 107.49°, γ = 107.58°
Fractional coordinates of all 13 atoms:
Pm1 0.000 0.000 0.000
Pm2 0.307 0.770 0.925
Pm3 0.383 0.461 0.153
Pm4 0.463 0.153 0.387
Pm5 0.537 0.847 0.613
Pm6 0.617 0.539 0.847
Pm7 0.693 0.230 0.075
Sm1 0.153 0.384 0.463
Sm2 0.847 0.616 0.537
Tm1 0.075 0.693 0.232
Tm2 0.227 0.076 0.691
Tm3 0.773 0.924 0.309
Tm4 0.925 0.307 0.768



[3]
VASP calculation (PBE-GGA) on a relaxed PmSm6Tm5 crystal.

Final energy = -4.5980 eV/atom
Energy relative to the elements = 24 kJ/mol of formula units

a = 8.003 Å, b = 8.003 Å, c = 10.052 Å
α = 90.00°, β = 90.00°, γ = 143.16°
Fractional coordinates of all 12 atoms:
Pm1 0.000 0.000 0.000
Sm1 0.167 0.833 0.252
Sm2 0.167 0.833 0.748
Sm3 0.500 0.500 0.252
Sm4 0.500 0.500 0.748
Sm5 0.833 0.167 0.252
Sm6 0.833 0.167 0.748
Tm1 0.000 0.000 0.500
Tm2 0.332 0.668 0.000
Tm3 0.334 0.666 0.500
Tm4 0.666 0.334 0.500
Tm5 0.668 0.332 0.000



[4]
VASP calculation (PBE-GGA) on a relaxed Pm5Sm4Tm3 crystal.

Final energy = -4.4504 eV/atom
Energy relative to the elements = 255 kJ/mol of formula units

a = 5.942 Å, b = 5.942 Å, c = 14.465 Å
α = 107.90°, β = 107.90°, γ = 57.22°
Fractional coordinates of all 12 atoms:
Pm1 0.000 0.000 0.000
Pm2 0.337 0.337 0.502
Pm3 0.470 0.470 0.762
Pm4 0.530 0.530 0.238
Pm5 0.663 0.663 0.498
Sm1 0.067 0.067 0.630
Sm2 0.190 0.190 0.881
Sm3 0.810 0.810 0.119
Sm4 0.933 0.933 0.370
Tm1 0.204 0.204 0.243
Tm2 0.500 0.500 0.000
Tm3 0.796 0.796 0.757



[5]
VASP calculation (PBE-GGA) on a relaxed Pm12Sm5Tm2 crystal.

Final energy = -4.5984 eV/atom
Energy relative to the elements = 210 kJ/mol of formula units
Polymorph energy (0 for the lowest one) = 0.0 meV per atom

a = 9.228 Å, b = 9.228 Å, c = 8.795 Å
α = 92.40°, β = 92.40°, γ = 60.54°
Fractional coordinates of all 19 atoms:
Pm1 0.057 0.057 0.342
Pm2 0.065 0.673 0.318
Pm3 0.171 0.533 0.762
Pm4 0.327 0.935 0.682
Pm5 0.426 0.426 0.120
Pm6 0.467 0.829 0.238
Pm7 0.533 0.171 0.762
Pm8 0.574 0.574 0.880
Pm9 0.673 0.065 0.318
Pm10 0.829 0.467 0.238
Pm11 0.935 0.327 0.682
Pm12 0.943 0.943 0.658
Sm1 0.206 0.206 0.031
Sm2 0.268 0.268 0.433
Sm3 0.500 0.500 0.500
Sm4 0.732 0.732 0.567
Sm5 0.794 0.794 0.969
Tm1 0.170 0.830 0.000
Tm2 0.830 0.170 0.000



[6]
VASP calculation (PBE-GGA) on a relaxed Pm6SmTm2 crystal.

Final energy = -4.4652 eV/atom
Energy relative to the elements = 191 kJ/mol of formula units
Polymorph energy (0 for the lowest one) = 201.7 meV per atom

a = 7.576 Å, b = 7.576 Å, c = 6.118 Å
α = 90.00°, β = 90.00°, γ = 120.00°
Fractional coordinates of all 9 atoms:
Pm1 0.189 0.378 0.287
Pm2 0.189 0.811 0.287
Pm3 0.378 0.189 0.713
Pm4 0.622 0.811 0.287
Pm5 0.811 0.189 0.713
Pm6 0.811 0.622 0.713
Sm1 0.000 0.000 0.000
Tm1 0.333 0.667 0.781
Tm2 0.667 0.333 0.219



[7]
VASP calculation (PBE-GGA) on a relaxed Pm3Sm5Tm crystal.

Final energy = -4.2073 eV/atom
Energy relative to the elements = 430 kJ/mol of formula units

a = 9.636 Å, b = 9.636 Å, c = 9.907 Å
α = 120.65°, β = 120.65°, γ = 74.41°
Fractional coordinates of all 18 atoms:
Pm1 0.000 0.000 0.000
Pm2 0.006 0.006 0.317
Pm3 0.484 0.484 0.148
Pm4 0.500 0.500 0.500
Pm5 0.516 0.516 0.852
Pm6 0.994 0.994 0.683
Sm1 0.095 0.600 0.760
Sm2 0.226 0.226 0.730
Sm3 0.247 0.753 0.500
Sm4 0.275 0.275 0.454
Sm5 0.400 0.905 0.240
Sm6 0.600 0.095 0.760
Sm7 0.725 0.725 0.546
Sm8 0.753 0.247 0.500
Sm9 0.774 0.774 0.270
Sm10 0.905 0.400 0.240
Tm1 0.252 0.252 0.096
Tm2 0.748 0.748 0.904



[8]
VASP calculation (PBE-GGA) on a relaxed PmSmTm4 crystal.

Final energy = -4.5382 eV/atom
Energy relative to the elements = 12 kJ/mol of formula units
Polymorph energy (0 for the lowest one) = 0.0 meV per atom

a = 3.543 Å, b = 4.987 Å, c = 10.608 Å
α = 90.00°, β = 90.50°, γ = 90.00°
Fractional coordinates of all 6 atoms:
Pm1 0.000 0.000 0.000
Sm1 0.500 0.500 0.500
Tm1 0.000 0.000 0.333
Tm2 0.000 0.000 0.667
Tm3 0.500 0.500 0.168
Tm4 0.500 0.500 0.832